No. 1
MnIr2W | Alexandria | meta-GGA SCAN | single point on PBEsol structure; volume = 54.73 Å³ per cell; crystal system = tetragonal; space-group type = I4/mmm (139)
1.0
-2.624 -2.749 0.287
1.103 -1.403 -3.367
3.267 -0.135 3.282
Mn W Ir
1 1 2
direct
0.000 0.000 0.000
0.500 0.500 0.000
0.750 0.250 0.500
0.250 0.750 0.500


No. 2
Li4ZrTl | Alexandria | meta-GGA SCAN | single point on PBEsol structure; volume = 103.50 Å³ per cell; crystal system = cubic; space-group type = F-43m (216)
1.0
5.270 0.000 0.000
2.635 4.564 0.000
2.635 1.521 4.303
Li Tl Zr
4 1 1
direct
0.375 0.375 0.375
0.375 0.375 0.875
0.875 0.375 0.375
0.375 0.875 0.375
0.750 0.750 0.750
0.000 0.000 0.000


No. 3
ZnFe2Co | Alexandria | meta-GGA SCAN | single point on PBEsol structure; volume = 45.16 Å³ per cell; crystal system = orthorhombic; space-group type = Pmmm (47)
1.0
2.530 0.000 0.000
0.000 3.542 0.000
0.000 0.000 5.039
Zn Co Fe
1 1 2
direct
0.500 0.500 0.000
0.500 0.500 0.500
0.000 0.000 0.737
0.000 0.000 0.263


no.,calculated total energy (eV/atom)
1,-57.9319
2,-18.7182
3,-16.8137